VASP calculation (PBE-GGA) on a relaxed Na2NOF crystal.

Cell lengths 4.388, 3.666, 4.388 Å; angles 90.00, 90.00, 90.00 degrees
Each line ends with the local moment (μB).
Fractional positions:
N1 0.000 0.500 0.000  1.06
Na1 0.000 0.000 0.500  -0.01
Na2 0.500 0.000 0.000  -0.01
O1 0.500 0.500 0.500  0.74
F1 0.000 0.000 0.000  0.01

Properties
- Crystal system: tetragonal
- Energy relative to the elements, uncorrected: -0.04 eV/atom

---

VASP calculation (PBE-GGA) on a relaxed Te2RhW crystal.

Cell lengths 4.577, 4.577, 5.654 Å; angles 79.51, 79.51, 42.37 degrees
Fractional positions:
Rh1 0.500 0.500 0.000
W1 0.000 0.000 0.500
Te1 0.737 0.737 0.258
Te2 0.263 0.263 0.742

Properties
- ΔE to the lowest computed polymorph: 0.279 eV/atom
- Crystal system: monoclinic
- Energy relative to the elements, uncorrected: 0.41 eV/atom

---

VASP calculation (PBE-GGA) on a relaxed AcTcSb2 crystal.

Cell lengths 4.649, 4.649, 6.184 Å; angles 67.92, 67.92, 60.00 degrees
Fractional positions:
Sb1 0.217 0.217 0.350
Sb2 0.783 0.783 0.650
Ac1 0.000 0.000 0.000
Tc1 0.500 0.500 0.500

Properties
- ΔE to the lowest computed polymorph: 0.000 eV/atom
- Crystal system: trigonal
- Energy relative to the elements, uncorrected: -0.40 eV/atom

---

VASP calculation (PBE-GGA) on a relaxed Ti2CdOsAu crystal.

Cell lengths 4.803, 4.909, 4.803 Å; angles 90.00, 90.00, 90.00 degrees
Fractional positions:
Os1 0.500 0.500 0.500
Au1 0.000 0.000 0.000
Ti1 0.500 0.000 0.000
Ti2 0.000 0.000 0.500
Cd1 0.000 0.500 0.000

Properties
- Crystal system: tetragonal
- Total DFT energy (no corrections): -4.85 eV/atom

---

VASP calculation (PBE-GGA) on a relaxed ErNpGaO6 crystal.

Cell lengths 5.530, 5.530, 8.742 Å; angles 90.00, 90.00, 120.00 degrees
Each line ends with the local moment (μB).
Fractional positions:
O1 0.024 0.690 0.875  -0.04
O2 0.976 0.665 0.375  -0.04
O3 0.665 0.976 0.875  -0.04
O4 0.310 0.976 0.625  -0.04
O5 0.024 0.335 0.625  -0.04
O6 0.690 0.665 0.125  -0.04
O7 0.976 0.310 0.125  -0.04
O8 0.665 0.690 0.625  -0.04
O9 0.335 0.024 0.125  -0.04
O10 0.310 0.335 0.875  -0.04
O11 0.335 0.310 0.375  -0.04
O12 0.690 0.024 0.375  -0.04
Ga1 0.000 0.000 0.500  -0.01
Ga2 0.000 0.000 0.000  -0.01
Er1 0.333 0.667 0.250  0.01
Er2 0.667 0.333 0.750  0.01
Np1 0.667 0.333 0.250  1.23
Np2 0.333 0.667 0.750  1.23

Properties
- Crystal system: trigonal
- Energy relative to the elements, uncorrected: -2.54 eV/atom

---

VASP calculation (PBE-GGA) on a relaxed SrTaCr2 crystal.

Cell lengths 4.989, 4.989, 3.191 Å; angles 90.00, 90.00, 90.28 degrees
Each line ends with the local moment (μB).
Fractional positions:
Cr1 0.500 0.500 0.000  2.98
Cr2 0.000 0.000 0.000  2.98
Sr1 0.500 0.000 0.500  0.06
Ta1 0.000 0.500 0.500  -0.76

Properties
- ΔE to the lowest computed polymorph: 0.376 eV/atom
- Crystal system: orthorhombic

---

VASP calculation (PBE-GGA) on a relaxed TiV3Hg crystal.

Cell lengths 4.445, 4.445, 4.445 Å; angles 90.00, 90.00, 90.00 degrees
Fractional positions:
Ti1 0.000 0.000 0.000
Hg1 0.500 0.500 0.500
V1 0.000 0.500 0.000
V2 0.000 0.000 0.500
V3 0.500 0.000 0.000

Properties
- ΔE to the lowest computed polymorph: 0.000 eV/atom
- Crystal system: cubic

---

VASP calculation (PBE-GGA) on a relaxed Ca3AlRu crystal.

Cell lengths 5.659, 5.659, 5.659 Å; angles 90.00, 90.00, 90.00 degrees
Each line ends with the local moment (μB).
Fractional positions:
Al1 0.000 0.000 0.000  0.12
Ca1 0.500 0.000 0.000  0.05
Ca2 0.000 0.000 0.500  0.01
Ca3 0.000 0.500 0.000  0.03
Ru1 0.500 0.500 0.500  2.20

Properties
- ΔE to the lowest computed polymorph: 0.606 eV/atom
- Crystal system: cubic